# 1
Cs2K5Na4: optimized geometry, PBE.

CIF file:
```
data_Cs2K5Na4
_space_group_name_H-M_alt 'P -1'
_space_group_IT_number 2
_cell_length_a 8.0679
_cell_length_b 9.5790
_cell_length_c 10.2890
_cell_angle_alpha 77.55
_cell_angle_beta 77.17
_cell_angle_gamma 70.52
loop_
_space_group_symop_operation_xyz
'x,y,z'
'-x,-y,-z'
loop_
_atom_site_label
_atom_site_fract_x
_atom_site_fract_y
_atom_site_fract_z
_atom_site_occupancy
Cs1 0.1329 0.3362 0.3129 1
K1 0.2648 0.6984 0.9337 1
K2 0.3342 0.1649 0.8430 1
K3 0.5000 0.5000 0.5000 1
Na1 0.1190 0.8797 0.2725 1
Na2 0.3112 0.9225 0.5498 1
```

Properties
* energy of formation: 0.025 eV/atom
* energy above the lowest structure with this stoichiometry: 0.0000 eV per atom

=====

# 2
PuZn2Ru: optimized geometry, PBE.

CIF file:
```
data_PuZn2Ru
_space_group_name_H-M_alt 'P 4/m m m'
_space_group_IT_number 123
_space_group_name_Hall '-P 4 2'
_cell_length_a 2.5873
_cell_length_b 2.5873
_cell_length_c 9.0695
_cell_angle_alpha 90.00
_cell_angle_beta 90.00
_cell_angle_gamma 90.00
loop_
_atom_site_label
_atom_site_fract_x
_atom_site_fract_y
_atom_site_fract_z
_atom_site_occupancy
Pu1 0.0000 0.0000 0.0000 1
Zn1 0.5000 0.5000 0.2787 1
Ru1 0.0000 0.0000 0.5000 1
```

Properties
* energy of formation: 0.224 eV/atom

=====

> Which of these has the highest energy of formation?

PuZn2Ru